(1)
Entry from Alexandria: a relaxed SrTaCu crystal (PBE).

Structure (extended XYZ):
```
3
Lattice="4.755 0.000 0.000 2.377 4.118 0.000 2.377 1.373 3.882" Properties=species:S:1:pos:R:3 pbc="T T T"
Ta 4.755 2.745 1.941
Cu 7.132 4.118 2.912
Sr 0.000 0.000 0.000
```

Properties
Space group: F-43m (216)
DOS at the Fermi energy (states/eV per cell): 3.85

=====

(2)
Entry from Alexandria: a relaxed SrTaCu crystal (PBE).

Structure (extended XYZ):
```
12
Lattice="-3.044 -2.130 -5.704 2.446 -4.073 0.216 -6.512 -3.653 4.840" Properties=species:S:1:pos:R:3 pbc="T T T"
Ta -1.390 -2.376 -2.885
Ta -2.505 -2.790 1.926
Ta -4.606 -7.067 -2.574
Ta -5.721 -7.481 2.237
Cu -1.235 -2.151 -0.390
Cu -3.402 -6.107 1.887
Cu -3.708 -3.749 -2.535
Cu -5.875 -7.706 -0.258
Sr -1.703 -5.219 -0.589
Sr -5.121 -4.266 3.711
Sr -5.407 -4.638 -0.059
Sr -1.990 -5.591 -4.359
```

Properties
Space group: Pnma (62)
DOS at the Fermi energy (states/eV per cell): 11.77

=====

Energies in meV/atom, measured from the most stable structure: (1) 743; (2) 0.

=====

(1)
Entry from Alexandria: a relaxed SrTa3Cu crystal (PBE).

Structure (extended XYZ):
```
5
Lattice="-2.898 -3.678 1.235 1.003 -2.199 -4.197 3.748 -2.256 2.078" Properties=species:S:1:pos:R:3 pbc="T T T"
Ta 1.874 -1.128 1.039
Ta 0.501 -1.100 -2.098
Ta -1.449 -1.839 0.618
Cu 0.926 -4.067 -0.442
Sr 0.000 0.000 0.000
```

Properties
Space group: Pm-3m (221)
DOS at the Fermi energy (states/eV per cell): 5.85

=====

(2)
Entry from Alexandria: a relaxed SrTa3Cu crystal (PBE).

Structure (extended XYZ):
```
5
Lattice="-1.912 -3.161 -3.155 -1.690 -2.664 3.694 -4.133 2.551 -0.052" Properties=species:S:1:pos:R:3 pbc="T T T"
Ta -0.845 -1.332 1.847
Ta -0.956 -1.580 -1.577
Ta -2.067 1.276 -0.026
Cu 0.000 0.000 0.000
Sr -3.868 -1.637 0.244
```

Properties
Space group: Pm-3m (221)
DOS at the Fermi energy (states/eV per cell): 13.91

=====

Energies in meV/atom, measured from the most stable structure: (1) 1768; (2) 0.

=====

(1)
Entry from Alexandria: a relaxed SrTaCu3 crystal (PBE).

Structure (extended XYZ):
```
5
Lattice="-3.442 -2.489 2.219 3.323 -2.285 2.590 -0.287 3.398 3.367" Properties=species:S:1:pos:R:3 pbc="T T T"
Cu -1.721 -1.245 1.110
Cu 1.661 -1.143 1.295
Cu -0.144 1.699 1.683
Sr 0.000 0.000 0.000
Ta -0.203 -0.688 4.088
```

Properties
Space group: Pm-3m (221)
DOS at the Fermi energy (states/eV per cell): 3.32

=====

(2)
Entry from Alexandria: a relaxed SrTaCu3 crystal (PBE).

Structure (extended XYZ):
```
5
Lattice="4.900 0.000 0.000 0.000 4.900 0.000 0.000 0.000 4.900" Properties=species:S:1:pos:R:3 pbc="T T T"
Cu 0.000 0.000 2.450
Cu 0.000 2.450 0.000
Cu 2.450 0.000 0.000
Sr 2.450 2.450 2.450
Ta 0.000 0.000 0.000
```

Properties
Space group: Pm-3m (221)
DOS at the Fermi energy (states/eV per cell): 4.05

=====

Energies in meV/atom, measured from the most stable structure: (1) 1223; (2) 0.

=====

(1)
Entry from Alexandria: a relaxed SrTb2Cu crystal (PBE).

Structure (extended XYZ):
```
4
Lattice="-1.446 2.945 -1.472 -1.306 -1.989 -2.697 -8.031 -1.461 4.967" Properties=species:S:1:pos:R:3 pbc="T T T"
Cu -1.376 0.478 -2.084
Tb -1.367 -0.249 0.845
Tb -6.664 -1.212 4.121
Sr -5.391 -0.252 0.399
```

Properties
Space group: P4/mmm (123)
DOS at the Fermi energy (states/eV per cell): 4.99

=====

(2)
Entry from Alexandria: a relaxed SrTb2Cu crystal (PBE).

Structure (extended XYZ):
```
4
Lattice="3.807 0.000 0.000 1.903 3.297 0.000 1.903 1.099 10.810" Properties=species:S:1:pos:R:3 pbc="T T T"
Sr 0.000 0.000 0.000
Tb 1.903 1.099 7.165
Tb 5.710 3.297 3.645
Cu 3.807 2.198 5.405
```

Properties
Space group: R-3m (166)
DOS at the Fermi energy (states/eV per cell): 6.06

=====

Energies in meV/atom, measured from the most stable structure: (1) 0; (2) 200.

=====

(1)
Entry from Alexandria: a relaxed SrTbCu crystal (PBE).

Structure (extended XYZ):
```
3
Lattice="-0.702 3.054 1.901 -2.445 1.016 -2.535 -3.190 -5.202 3.644" Properties=species:S:1:pos:R:3 pbc="T T T"
Sr -0.228 -0.152 0.159
Tb -2.760 -1.835 1.927
Cu -3.350 0.854 0.924
```

Properties
Space group: I4mm (107)
DOS at the Fermi energy (states/eV per cell): 2.53

=====

(2)
Entry from Alexandria: a relaxed SrTbCu crystal (PBE).

Structure (extended XYZ):
```
6
Lattice="-1.702 -1.796 -3.019 -0.665 -1.250 3.642 -11.319 9.006 1.024" Properties=species:S:1:pos:R:3 pbc="T T T"
Tb -5.444 2.016 -0.653
Tb -8.247 4.246 -0.400
Cu -1.188 -1.376 -1.035
Cu -6.501 3.311 1.695
Sr -2.501 0.122 1.338
Sr -10.507 6.492 2.062
```

Properties
Space group: Amm2 (38)
DOS at the Fermi energy (states/eV per cell): 5.40

=====

Energies in meV/atom, measured from the most stable structure: (1) 0; (2) 135.

=====

(1)
Entry from Alexandria: a relaxed Sr2CuTc crystal (PBE).

Structure (extended XYZ):
```
4
Lattice="0.000 3.769 3.769 3.769 0.000 3.769 3.769 3.769 0.000" Properties=species:S:1:pos:R:3 pbc="T T T"
Tc 3.769 3.769 3.769
Cu 0.000 0.000 0.000
Sr 5.654 5.654 5.654
Sr 1.885 1.885 1.885
```

Properties
Space group: Fm-3m (225)
DOS at the Fermi energy (states/eV per cell): 13.96

=====

(2)
Entry from Alexandria: a relaxed Sr2CuTc crystal (PBE).

Structure (extended XYZ):
```
4
Lattice="5.164 0.000 0.000 2.582 4.472 0.000 2.582 1.491 4.217" Properties=species:S:1:pos:R:3 pbc="T T T"
Sr 2.582 1.491 1.054
Sr 0.000 0.000 0.000
Tc 7.746 4.472 3.162
Cu 5.164 2.982 2.108
```

Properties
Space group: F-43m (216)
DOS at the Fermi energy (states/eV per cell): 5.36

=====

Energies in meV/atom, measured from the most stable structure: (1) 0; (2) 118.

=====

(1)
Entry from Alexandria: a relaxed SrCuTc3 crystal (PBE).

Structure (extended XYZ):
```
5
Lattice="4.769 0.000 0.000 0.000 4.769 0.000 0.000 0.000 4.769" Properties=species:S:1:pos:R:3 pbc="T T T"
Tc 2.385 0.000 0.000
Tc 0.000 0.000 2.385
Tc 0.000 2.385 0.000
Sr 0.000 0.000 0.000
Cu 2.385 2.385 2.385
```

Properties
Space group: Pm-3m (221)
DOS at the Fermi energy (states/eV per cell): 5.92

=====

(2)
Entry from Alexandria: a relaxed SrCuTc3 crystal (PBE).

Structure (extended XYZ):
```
5
Lattice="-4.175 0.217 2.078 -1.581 -3.362 -2.826 1.366 -3.231 3.080" Properties=species:S:1:pos:R:3 pbc="T T T"
Tc -0.791 -1.681 -1.413
Tc -2.087 0.108 1.039
Tc 0.683 -1.616 1.540
Sr -2.195 -3.188 1.166
Cu 0.000 0.000 0.000
```

Properties
Space group: Pm-3m (221)
DOS at the Fermi energy (states/eV per cell): 9.11

=====

Energies in meV/atom, measured from the most stable structure: (1) 1608; (2) 0.

=====

(1)
Entry from Alexandria: a relaxed Sr2Cu2Te crystal (PBE).

Structure (extended XYZ):
```
5
Lattice="-4.289 -0.953 -4.402 3.630 -4.329 -2.599 -2.080 -3.403 2.764" Properties=species:S:1:pos:R:3 pbc="T T T"
Cu -1.040 -1.702 1.382
Cu -1.369 -4.343 -2.119
Sr 1.815 -2.165 -1.300
Sr -2.144 -0.477 -2.201
Te 0.000 0.000 0.000
```

Properties
Space group: P4/mmm (123)
DOS at the Fermi energy (states/eV per cell): 6.27

=====

(2)
Entry from Alexandria: a relaxed Sr2Cu2Te crystal (PBE).

Structure (extended XYZ):
```
10
Lattice="-5.045 -5.384 -2.901 4.635 -5.819 2.738 -2.133 0.025 3.664" Properties=species:S:1:pos:R:3 pbc="T T T"
Cu -2.566 -3.887 -1.468
Cu -1.695 -8.340 -0.930
Cu 2.157 -7.316 1.305
Cu 1.285 -2.863 0.768
Sr -0.735 -8.418 2.083
Sr -1.808 -2.760 1.419
Sr 1.176 -4.958 3.171
Sr -3.718 -6.219 0.331
Te -0.205 -5.601 -0.081
Te 0.000 0.000 0.000
```

Properties
Space group: P4/mbm (127)
DOS at the Fermi energy (states/eV per cell): 2.96

=====

Energies in meV/atom, measured from the most stable structure: (1) 497; (2) 0.

=====

(1)
Entry from Alexandria: a relaxed SrTi2Cu crystal (PBE).

Structure (extended XYZ):
```
4
Lattice="2.308 2.977 3.014 -2.456 2.340 3.430 0.568 -1.221 4.632" Properties=species:S:1:pos:R:3 pbc="T T T"
Ti 0.105 1.024 2.769
Ti 0.315 3.071 8.306
Cu 0.000 0.000 0.000
Sr 0.210 2.048 5.538
```

Properties
Space group: Fm-3m (225)
DOS at the Fermi energy (states/eV per cell): 3.15

=====

(2)
Entry from Alexandria: a relaxed SrTi2Cu crystal (PBE).

Structure (extended XYZ):
```
8
Lattice="-4.386 -0.882 -0.347 0.929 -3.686 -2.384 -1.317 -7.665 7.117" Properties=species:S:1:pos:R:3 pbc="T T T"
Ti -4.277 -8.694 3.629
Ti -1.548 -4.582 0.147
Ti -1.703 -2.676 1.363
Ti -2.019 -8.513 3.634
Cu -1.728 -2.284 -1.365
Cu -1.058 -6.817 1.684
Sr 0.000 0.000 0.000
Sr -3.715 -5.415 2.703
```

Properties
Space group: I-42d (122)
DOS at the Fermi energy (states/eV per cell): 9.50

=====

Energies in meV/atom, measured from the most stable structure: (1) 62; (2) 0.

=====

(1)
Entry from Alexandria: a relaxed SrTl3Cu crystal (PBE).

Structure (extended XYZ):
```
5
Lattice="-3.163 -3.734 2.062 3.273 -0.479 4.153 -2.735 3.745 2.587" Properties=species:S:1:pos:R:3 pbc="T T T"
Tl -1.367 1.872 1.293
Tl 1.637 -0.239 2.077
Tl -1.581 -1.867 1.031
Sr -1.312 -0.234 4.401
Cu 0.000 0.000 0.000
```

Properties
Space group: Pm-3m (221)
DOS at the Fermi energy (states/eV per cell): 3.87

=====

(2)
Entry from Alexandria: a relaxed SrTl3Cu crystal (PBE).

Structure (extended XYZ):
```
5
Lattice="6.321 0.000 0.000 0.000 6.321 0.000 0.000 0.000 6.321" Properties=species:S:1:pos:R:3 pbc="T T T"
Cu 3.160 3.160 3.160
Tl 3.160 0.000 0.000
Tl 0.000 0.000 3.160
Tl 0.000 3.160 0.000
Sr 0.000 0.000 0.000
```

Properties
Space group: Pm-3m (221)
DOS at the Fermi energy (states/eV per cell): 8.96

=====

Energies in meV/atom, measured from the most stable structure: (1) 0; (2) 989.

=====

(1)
Entry from Alexandria: a relaxed SrTlCu3 crystal (PBE).

Structure (extended XYZ):
```
5
Lattice="5.637 0.000 0.000 0.000 5.637 0.000 0.000 0.000 5.637" Properties=species:S:1:pos:R:3 pbc="T T T"
Tl 2.818 2.818 2.818
Cu 2.818 0.000 0.000
Cu 0.000 2.818 0.000
Cu 0.000 0.000 2.818
Sr 0.000 0.000 0.000
```

Properties
Space group: Pm-3m (221)
DOS at the Fermi energy (states/eV per cell): 0.51

=====

(2)
Entry from Alexandria: a relaxed SrTlCu3 crystal (PBE).

Structure (extended XYZ):
```
5
Lattice="4.989 0.000 0.000 0.000 4.989 0.000 0.000 0.000 4.989" Properties=species:S:1:pos:R:3 pbc="T T T"
Tl 0.000 0.000 0.000
Cu 2.495 0.000 0.000
Cu 0.000 2.495 0.000
Cu 0.000 0.000 2.495
Sr 2.495 2.495 2.495
```

Properties
Space group: Pm-3m (221)
DOS at the Fermi energy (states/eV per cell): 1.59

=====

Energies in meV/atom, measured from the most stable structure: (1) 692; (2) 0.

=====

(1)
Entry from Alexandria: a relaxed SrTl2Cu2 crystal (PBE).

Structure (extended XYZ):
```
5
Lattice="-1.980 2.539 3.558 -0.758 -4.046 2.466 3.444 -0.244 5.326" Properties=species:S:1:pos:R:3 pbc="T T T"
Cu 0.659 -2.521 5.402
Cu 0.048 0.771 5.948
Tl -0.012 -0.609 3.665
Tl 0.718 -1.140 7.685
Sr 0.000 0.000 0.000
```

Properties
Space group: I4/mmm (139)
DOS at the Fermi energy (states/eV per cell): 2.47

=====

(2)
Entry from Alexandria: a relaxed SrTl2Cu2 crystal (PBE).

Structure (extended XYZ):
```
5
Lattice="4.593 0.000 0.000 0.000 4.593 0.000 2.296 2.296 5.711" Properties=species:S:1:pos:R:3 pbc="T T T"
Sr 0.000 0.000 0.000
Tl 2.296 4.593 2.855
Tl 4.593 2.296 2.855
Cu 4.593 4.593 4.504
Cu 2.296 2.296 1.207
```

Properties
Space group: I4/mmm (139)
DOS at the Fermi energy (states/eV per cell): 2.93

=====

(3)
Entry from Alexandria: a relaxed SrTl2Cu2 crystal (PBE).

Structure (extended XYZ):
```
10
Lattice="-6.041 -5.049 2.779 2.201 -5.742 -5.647 2.195 -1.382 2.261" Properties=species:S:1:pos:R:3 pbc="T T T"
Cu -1.072 -8.844 -1.747
Cu 1.569 -5.329 -2.163
Cu -0.573 -3.329 1.140
Cu -3.214 -6.844 1.555
Tl -3.846 -8.012 -1.164
Tl -3.531 -3.958 1.008
Tl -0.309 -6.833 -3.877
Tl 0.006 -2.779 -1.705
Sr -1.920 -5.396 -1.434
Sr 0.000 0.000 0.000
```

Properties
Space group: P4/mbm (127)
DOS at the Fermi energy (states/eV per cell): 4.96

=====

Energies in meV/atom, measured from the most stable structure: (1) 15; (2) 0; (3) 223.

=====

(1)
Entry from Alexandria: a relaxed Sr8Tl2Cu crystal (PBE).

Structure (extended XYZ):
```
11
Lattice="4.290 0.000 -1.115 -0.325 10.633 -1.251 0.460 -0.170 10.579" Properties=species:S:1:pos:R:3 pbc="T T T"
Sr 3.451 6.944 4.464
Sr -0.029 2.126 -0.110
Sr 1.957 4.510 7.529
Sr 1.792 -0.097 6.893
Sr 2.633 10.560 1.319
Sr 0.974 3.519 3.748
Sr 4.454 8.337 8.322
Sr 2.468 5.953 0.684
Tl 3.703 2.400 5.433
Tl 0.723 8.063 2.779
Cu 2.145 0.000 -0.558
```

Properties
Space group: C2/m (12)
DOS at the Fermi energy (states/eV per cell): 10.82

=====

(2)
Entry from Alexandria: a relaxed Sr8Tl2Cu crystal (PBE).

Structure (extended XYZ):
```
11
Lattice="5.801 0.000 0.000 0.000 7.873 0.138 -2.900 -3.213 9.712" Properties=species:S:1:pos:R:3 pbc="T T T"
Sr 0.000 6.058 0.670
Sr 0.000 1.085 4.089
Sr 2.900 -1.398 9.180
Sr 2.900 3.575 5.762
Sr 2.900 2.801 1.890
Sr 2.900 6.543 3.211
Sr 0.000 1.859 7.961
Sr 0.000 -1.883 6.639
Tl 2.900 0.220 6.186
Tl 0.000 4.440 3.665
Cu 2.900 0.000 0.000
```

Properties
Space group: C2/m (12)
DOS at the Fermi energy (states/eV per cell): 9.93

=====

Energies in meV/atom, measured from the most stable structure: (1) 12; (2) 0.